Record 1
A relaxed K4Ac3BiS8 crystal. Source: Alexandria, functional PBE.

The structure in POSCAR format:
```
K4Ac3BiS8
1.0
8.721 0.000 0.000
0.000 8.979 0.173
-4.360 -4.355 6.170
K Ac Bi S
4 3 1 8
direct
0.500 0.000 0.000
0.500 0.000 0.500
0.000 0.000 0.000
0.000 0.000 0.500
0.500 0.500 0.000
0.500 0.500 0.500
0.000 0.500 0.500
0.000 0.500 0.000
0.232 0.712 0.980
0.232 0.712 0.464
0.262 0.285 0.523
0.748 0.712 0.980
0.252 0.288 0.020
0.738 0.715 0.477
0.768 0.288 0.536
0.768 0.288 0.020
```

**M_tot**: 0.0 Bohr magnetons per cell
**E_form (uncorrected)**: -1617 meV per atom
**SG**: No. 166

---

Record 2
A relaxed K2AcBiSe4 crystal. Source: Alexandria, functional PBE.

The structure in POSCAR format:
```
K2AcBiSe4
1.0
4.461 0.000 0.000
0.000 7.684 0.121
0.000 -2.700 7.716
K Ac Bi Se
2 1 1 4
direct
0.500 0.000 0.500
0.000 0.500 0.500
0.500 0.500 0.000
0.000 0.000 0.000
0.500 0.228 0.213
0.500 0.772 0.787
0.000 0.251 0.782
0.000 0.749 0.218
```

**M_tot**: 0.0 Bohr magnetons per cell
**E_form (uncorrected)**: -1303 meV per atom
**SG**: No. 10

---

Record 3
A relaxed K3Ac3BiSe8 crystal. Source: Alexandria, functional PBE.

The structure in POSCAR format:
```
K3Ac3BiSe8
1.0
-8.161 2.762 -2.572
1.095 -8.266 3.363
0.649 7.354 5.838
K Ac Bi Se
3 3 1 8
direct
0.000 0.000 0.000
0.000 0.500 0.000
0.500 0.500 0.000
0.500 0.000 0.500
0.500 0.500 0.500
0.000 0.500 0.500
0.000 0.000 0.500
0.261 0.522 0.282
0.739 0.478 0.718
0.774 0.548 0.291
0.226 0.452 0.709
0.774 0.017 0.292
0.226 0.983 0.708
0.243 0.017 0.292
0.757 0.983 0.708
```

**M_tot**: 0.0 Bohr magnetons per cell
**E_form (uncorrected)**: -1454 meV per atom
**SG**: No. 166

---

Record 4
A relaxed K3Ac2BiSe6 crystal. Source: Alexandria, functional PBE.

The structure in POSCAR format:
```
K3Ac2BiSe6
1.0
7.781 -0.002 0.000
-3.890 6.739 0.000
-1.298 -2.247 7.749
K Ac Bi Se
3 2 1 6
direct
0.165 0.835 0.500
0.835 0.165 0.500
0.500 0.500 0.500
0.333 0.667 0.000
0.667 0.333 0.000
0.000 0.000 0.000
0.928 0.605 0.783
0.749 0.749 0.215
0.072 0.395 0.217
0.605 0.928 0.783
0.251 0.251 0.785
0.395 0.072 0.217
```

**M_tot**: 0.0 Bohr magnetons per cell
**E_form (uncorrected)**: -1475 meV per atom
**SG**: No. 12

---

Record 5
A relaxed KAcSnBi crystal. Source: Alexandria, functional PBE.

The structure in POSCAR format:
```
KAcSnBi
1.0
5.868 0.000 0.000
2.934 5.082 0.000
2.934 1.694 4.792
K Ac Bi Sn
1 1 1 1
direct
0.500 0.500 0.500
0.000 0.000 0.000
0.750 0.750 0.750
0.250 0.250 0.250
```

**M_tot**: 0.0 Bohr magnetons per cell
**DFT formation energy**: -0.352 eV/atom
**SG**: No. 216

---

Record 6
A relaxed K2AcTlBi2 crystal. Source: Alexandria, functional PBE.

The structure in POSCAR format:
```
K2AcTlBi2
1.0
4.875 0.000 0.000
0.000 9.329 0.000
0.000 0.000 10.518
K Ac Tl Bi
4 2 2 4
direct
0.500 0.074 0.074
0.000 0.374 0.189
0.500 0.574 0.926
0.000 0.874 0.811
0.000 0.944 0.434
0.000 0.444 0.566
0.500 0.124 0.728
0.500 0.624 0.272
0.000 0.306 0.852
0.500 0.223 0.433
0.000 0.806 0.148
0.500 0.723 0.567
```

**M_tot**: 0.0 Bohr magnetons per cell
**DFT formation energy**: -0.493 eV/atom
**SG**: No. 26